Density functional theory data (PBE) for LiMg6BiO8 after structural relaxation.

## Properties
Space-group type: No. 123
Formation energy from raw total energies in kJ/mol of atoms: -215.84
E above lowest polymorph in eV/atom: 0.045

a = 4.445 Å, b = 4.445 Å, c = 8.861 Å
α = 90.00°, β = 90.00°, γ = 90.00°
Fractional coordinates of all 16 atoms:
Li1 0.000 0.000 0.000
Mg1 0.500 0.500 0.000
Mg2 0.500 0.500 0.500
Mg3 0.000 0.500 0.224
Mg4 0.000 0.500 0.776
Mg5 0.500 0.000 0.224
Mg6 0.500 0.000 0.776
Bi1 0.000 0.000 0.500
O1 0.000 0.000 0.237
O2 0.000 0.000 0.763
O3 0.500 0.500 0.254
O4 0.500 0.500 0.746
O5 0.000 0.500 0.000
O6 0.000 0.500 0.500
O7 0.500 0.000 0.000
O8 0.500 0.000 0.500

---

Density functional theory data (PBE) for ZrMnTc4 after structural relaxation.

## Properties
Space-group type: No. 216
Energy of formation in eV/f.u.: 0.1

a = 5.192 Å, b = 5.192 Å, c = 5.192 Å
α = 60.00°, β = 60.00°, γ = 60.00°
Fractional coordinates of all 6 atoms:
Zr1 0.750 0.750 0.750
Mn1 0.000 0.000 0.000
Tc1 0.877 0.374 0.374
Tc2 0.374 0.374 0.877
Tc3 0.374 0.877 0.374
Tc4 0.374 0.374 0.374

---

Density functional theory data (PBE) for HoPaP2Rh5 after structural relaxation.

## Properties
Space-group type: No. 123
Energy of formation in eV/f.u.: -7.4

a = 4.007 Å, b = 4.007 Å, c = 10.729 Å
α = 90.00°, β = 90.00°, γ = 90.00°
Fractional coordinates of all 9 atoms:
Ho1 0.000 0.000 0.500
Pa1 0.000 0.000 0.000
P1 0.500 0.500 0.289
P2 0.500 0.500 0.711
Rh1 0.000 0.500 0.183
Rh2 0.500 0.000 0.183
Rh3 0.000 0.500 0.817
Rh4 0.500 0.000 0.817
Rh5 0.500 0.500 0.500

---

Density functional theory data (PBE) for ZrTl2Ge2 after structural relaxation.

## Properties
Space-group type: No. 127
Energy of formation in eV/f.u.: 0.5

a = 7.258 Å, b = 7.258 Å, c = 4.435 Å
α = 90.00°, β = 90.00°, γ = 90.00°
Fractional coordinates of all 10 atoms:
Tl1 0.183 0.683 0.500
Tl2 0.683 0.817 0.500
Tl3 0.817 0.317 0.500
Tl4 0.317 0.183 0.500
Ge1 0.373 0.873 0.000
Ge2 0.873 0.627 0.000
Ge3 0.627 0.127 0.000
Ge4 0.127 0.373 0.000
Zr1 0.000 0.000 0.000
Zr2 0.500 0.500 0.000

---

Density functional theory data (PBE) for Rb2CaTe2 after structural relaxation.

## Properties
Space-group type: No. 127
Formation energy from raw total energies in kJ/mol of atoms: -64.28
E above lowest polymorph in eV/atom: 0.562

a = 9.432 Å, b = 9.432 Å, c = 4.392 Å
α = 90.00°, β = 90.00°, γ = 90.00°
Fractional coordinates of all 10 atoms:
Ca1 0.000 0.000 0.000
Ca2 0.500 0.500 0.000
Te1 0.187 0.687 0.500
Te2 0.687 0.813 0.500
Te3 0.813 0.313 0.500
Te4 0.313 0.187 0.500
Rb1 0.383 0.883 0.000
Rb2 0.883 0.617 0.000
Rb3 0.617 0.117 0.000
Rb4 0.117 0.383 0.000

---

Density functional theory data (PBE) for Tb5Er5Tm2 after structural relaxation.

## Properties
Space-group type: No. 12
Energy of formation in eV/f.u.: 0.2

a = 4.970 Å, b = 7.861 Å, c = 10.562 Å
α = 72.70°, β = 76.39°, γ = 71.57°
Fractional coordinates of all 12 atoms:
Tb1 0.500 0.500 0.500
Tb2 0.334 0.333 0.000
Tb3 0.417 0.916 0.250
Tb4 0.583 0.084 0.750
Tb5 0.666 0.667 0.000
Er1 0.833 0.834 0.500
Er2 0.251 0.750 0.749
Er3 0.749 0.250 0.251
Er4 0.167 0.166 0.500
Er5 0.000 0.000 0.000
Tm1 0.917 0.417 0.750
Tm2 0.083 0.583 0.250

---

Density functional theory data (PBE) for Ca2PuH after structural relaxation.

## Properties
Space-group type: No. 166
Energy in eV per atom: -5.25

a = 3.506 Å, b = 3.506 Å, c = 9.958 Å
α = 79.86°, β = 79.86°, γ = 60.00°
Fractional coordinates of all 4 atoms:
H1 0.500 0.500 0.500
Ca1 0.115 0.115 0.655
Ca2 0.885 0.885 0.345
Pu1 0.000 0.000 0.000

---

Density functional theory data (PBE) for RbLiN3 after structural relaxation.

## Properties
Space-group type: No. 221
Formation energy from raw total energies in kJ/mol of atoms: 250.93

a = 5.053 Å, b = 5.053 Å, c = 5.053 Å
α = 90.00°, β = 90.00°, γ = 90.00°
Fractional coordinates of all 5 atoms:
Li1 0.500 0.500 0.500
Rb1 0.000 0.000 0.000
N1 0.000 0.500 0.000
N2 0.000 0.000 0.500
N3 0.500 0.000 0.000

---

Density functional theory data (PBE) for SbRhAuI2 after structural relaxation.

## Properties
Space-group type: No. 123
Formation energy from raw total energies in kJ/mol of atoms: 45.04
E above lowest polymorph in eV/atom: 0.000

a = 5.514 Å, b = 5.514 Å, c = 4.981 Å
α = 90.00°, β = 90.00°, γ = 90.00°
Fractional coordinates of all 5 atoms:
I1 0.000 0.500 0.000
I2 0.500 0.000 0.000
Sb1 0.000 0.000 0.500
Au1 0.500 0.500 0.500
Rh1 0.000 0.000 0.000

---

Density functional theory data (PBE) for Ga3OsBr after structural relaxation.

## Properties
Space-group type: No. 221
Formation energy from raw total energies in kJ/mol of atoms: 149.75
E above lowest polymorph in eV/atom: 1.646

a = 5.227 Å, b = 5.227 Å, c = 5.227 Å
α = 90.00°, β = 90.00°, γ = 90.00°
Fractional coordinates of all 5 atoms:
Os1 0.500 0.500 0.500
Ga1 0.000 0.500 0.000
Ga2 0.000 0.000 0.500
Ga3 0.500 0.000 0.000
Br1 0.000 0.000 0.000

---

Density functional theory data (PBE) for LuNpSe2 after structural relaxation.

## Properties
Space-group type: No. 166
Formation energy from raw total energies in kJ/mol of atoms: -130.46

a = 4.006 Å, b = 4.006 Å, c = 7.122 Å
α = 73.67°, β = 73.67°, γ = 60.00°
Fractional coordinates of all 4 atoms:
Np1 0.500 0.500 0.500
Lu1 0.000 0.000 0.000
Se1 0.254 0.254 0.238
Se2 0.746 0.746 0.762

---

Density functional theory data (PBE) for SmGe2Au after structural relaxation.

## Properties
Space-group type: No. 166
Energy of formation in eV/f.u.: -1.3
E above lowest polymorph in eV/atom: 0.238

a = 5.210 Å, b = 5.210 Å, c = 4.744 Å
α = 56.69°, β = 56.69°, γ = 60.00°
Fractional coordinates of all 4 atoms:
Ge1 0.235 0.235 0.295
Ge2 0.765 0.765 0.705
Au1 0.000 0.000 0.000
Sm1 0.500 0.500 0.500

---

Density functional theory data (PBE) for Be2TeIr after structural relaxation.

## Properties
Space-group type: No. 119
Formation energy from raw total energies in kJ/mol of atoms: 39.53

a = 4.792 Å, b = 4.792 Å, c = 4.792 Å
α = 133.21°, β = 133.21°, γ = 68.32°
Fractional coordinates of all 4 atoms:
Be1 0.000 0.000 0.000
Be2 0.250 0.750 0.500
Ir1 0.500 0.500 0.000
Te1 0.750 0.250 0.500